# 1
A relaxed structure of CdBi2MoRh, computed with PBE.

Summary:
- formation energy (eV per atom) = 0.86
- DFT total energy (eV per atom) = -4.5114
- size of the total moment (μB/f.u.) = 2.822

abc: 5.316 4.953 5.316
angles: 90.00 90.00 90.00
Element x y z (fractional)
Cd  0.500  0.500  0.500
Bi  0.500  0.000  0.000
Bi  0.000  0.000  0.500
Mo  0.000  0.500  0.000
Rh  0.000  0.000  0.000

---

# 2
A relaxed structure of CdBi2MoRu, computed with PBE.

Summary:
- formation energy (eV per atom) = 1.82
- DFT total energy (eV per atom) = -3.9412
- size of the total moment (μB/f.u.) = 4.696

abc: 5.474 4.980 5.474
angles: 90.00 90.00 90.00
Element x y z (fractional)
Mo  0.500  0.500  0.500
Bi  0.500  0.000  0.000
Bi  0.000  0.000  0.500
Cd  0.000  0.000  0.000
Ru  0.000  0.500  0.000

---

# 3
A relaxed structure of CdSiBi2Mo, computed with PBE.

Summary:
- DFT total energy (eV per atom) = -3.3792
- formation energy from raw total energies (eV per atom) = 1.61
- size of the total moment (μB/f.u.) = 3.152

abc: 5.538 5.282 5.538
angles: 90.00 90.00 90.00
Element x y z (fractional)
Mo  0.000  0.500  0.000
Bi  0.500  0.000  0.000
Bi  0.000  0.000  0.500
Cd  0.000  0.000  0.000
Si  0.500  0.500  0.500